{
  "formula": "Pr11Zn9Ni4",
  "functional": "PBE-GGA",
  "state": "optimized geometry",
  "lattice_angstrom": [[3.7186, 0.0000, 0.0000], [0.0000, 11.8474, -5.0143], [0.0000, 0.0450, 12.8647]],
  "species": ["Zn", "Zn", "Zn", "Zn", "Zn", "Zn", "Zn", "Zn", "Zn", "Pr", "Pr", "Pr", "Pr", "Pr", "Pr", "Pr", "Pr", "Pr", "Pr", "Pr", "Ni", "Ni", "Ni", "Ni"],
  "fractional_positions": [[0.5000, 0.2171, 0.0769], [0.5000, 0.9231, 0.7829], [0.5000, 0.5000, 0.5000], [0.5000, 0.7829, 0.9231], [0.5000, 0.6312, 0.1673], [0.5000, 0.8327, 0.3688], [0.5000, 0.3688, 0.8327], [0.5000, 0.0769, 0.2171], [0.5000, 0.1673, 0.6312], [0.0000, 0.4132, 0.0712], [0.0000, 0.6267, 0.3733], [0.0000, 0.5868, 0.9288], [0.0000, 0.0000, 0.0000], [0.0000, 0.6959, 0.6959], [0.0000, 0.8321, 0.1679], [0.0000, 0.9288, 0.5868], [0.0000, 0.3041, 0.3041], [0.0000, 0.0712, 0.4132], [0.0000, 0.3733, 0.6267], [0.0000, 0.1679, 0.8321], [0.5000, 0.7533, 0.5519], [0.5000, 0.4481, 0.2467], [0.5000, 0.2467, 0.4481], [0.5000, 0.5519, 0.7533]],
  "e_tot_ev_per_fu": -94.59,
  "space_group": "Cmmm, No. 65",
  "e_form_mev_per_atom": -309,
  "total_magnetization_mub_per_atom": 0.00
}